Record 1
A plane-wave DFT calculation with PBE was carried out for a geometry-optimized ZrTl2CrW structure.

Results
The symmetry is P4/mmm, No. 123. The calculation puts the energy of formation from the pure elements at 2159 meV per atom. Its total energy is -25.063 eV/cell.

Cell: 5.444 5.444 4.530 Å, 90.00 90.00 90.00°
Fractional positions:
Zr1 0.000 0.000 0.000
Tl1 0.000 0.500 0.000
Tl2 0.500 0.000 0.000
Cr1 0.000 0.000 0.500
W1 0.500 0.500 0.500

Record 2
A plane-wave DFT calculation with PBE was carried out for a geometry-optimized ZrTlCrW2 structure.

Results
The symmetry is P4/mmm, No. 123. The calculation puts the energy of formation from the pure elements at 2370 meV per atom. Its total energy is -34.596 eV/cell.

Cell: 5.029 5.029 4.762 Å, 90.00 90.00 90.00°
Fractional positions:
Zr1 0.000 0.000 0.000
Tl1 0.500 0.500 0.500
Cr1 0.500 0.500 0.000
W1 0.000 0.500 0.500
W2 0.500 0.000 0.500